The following is a DFT calculation (PBE) of an optimized crystal structure of CuAuC2.

Cell lengths 3.953, 3.953, 3.953 Å; angles 60.00, 60.00, 60.00 degrees
Atoms (fractional coordinates):
Cu: 0.000 0.000 0.000
Au: 0.500 0.500 0.500
C: 0.750 0.750 0.750
C: 0.250 0.250 0.250

Properties
VASP energy, eV per atom: -4.288
SG: Fm-3m (225)
Density, Mg/m³: 10.8
E_form, meV/atom: 2167
Size of the total moment, μB per cell: 0.0